[1]
This record from Alexandria via LeMat-Bulk describes a relaxed Ce2PuSi3Ir4 crystal. The functional is PBE-GGA.

The raw total energy is -8.671 eV/atom. The value obtained for the density of states at the Fermi level is 12.7 states/eV/f.u.

CIF file:
```
data_Ce2PuSi3Ir4
_chemical_formula_sum 'Ce2 Pu1 Si3 Ir4'
_cell_length_a 4.156
_cell_length_b 4.156
_cell_length_c 10.819
_cell_angle_alpha 90.00
_cell_angle_beta 90.00
_cell_angle_gamma 90.00
_symmetry_space_group_name_H-M 'P -4 m 2'
_symmetry_Int_Tables_number 115
_symmetry_space_group_name_Hall 'P -4 -2'
loop_
_atom_site_label
_atom_site_type_symbol
_atom_site_fract_x
_atom_site_fract_y
_atom_site_fract_z
Ce1 Ce 0.000 0.500 0.236
Pu1 Pu 0.000 0.000 0.500
Si1 Si 0.000 0.500 0.881
Si2 Si 0.500 0.500 0.500
Ir1 Ir 0.000 0.000 0.000
Ir2 Ir 0.000 0.500 0.659
Ir3 Ir 0.500 0.500 0.000
```


[2]
This record from Alexandria via LeMat-Bulk describes a relaxed TbCePuIr crystal. The functional is PBE-GGA.

As for the energy of formation from the pure elements: -0.147 eV/atom. The raw total energy is -8.587 eV/atom. The value obtained for the density of states at the Fermi level is 11.9 states/eV/f.u.

CIF file:
```
data_TbCePuIr
_chemical_formula_sum 'Tb4 Ce4 Pu4 Ir4'
_cell_length_a 7.169
_cell_length_b 7.169
_cell_length_c 7.169
_cell_angle_alpha 90.00
_cell_angle_beta 90.00
_cell_angle_gamma 90.00
_symmetry_space_group_name_H-M 'F -4 3 m'
_symmetry_Int_Tables_number 216
_symmetry_space_group_name_Hall 'F -4 2 3'
loop_
_atom_site_label
_atom_site_type_symbol
_atom_site_fract_x
_atom_site_fract_y
_atom_site_fract_z
Tb1 Tb 0.000 0.000 0.000
Ce1 Ce 0.000 0.000 0.500
Pu1 Pu 0.250 0.250 0.250
Ir1 Ir 0.250 0.250 0.750
```


[3]
This record from Alexandria via LeMat-Bulk describes a relaxed CeTmPuIr crystal. The functional is PBE-GGA.

As for the energy of formation from the pure elements: -0.184 eV/atom. The raw total energy is -8.584 eV/atom. The value obtained for the density of states at the Fermi level is 11.7 states/eV/f.u.

CIF file:
```
data_CeTmPuIr
_chemical_formula_sum 'Ce4 Tm4 Pu4 Ir4'
_cell_length_a 7.119
_cell_length_b 7.119
_cell_length_c 7.119
_cell_angle_alpha 90.00
_cell_angle_beta 90.00
_cell_angle_gamma 90.00
_symmetry_space_group_name_H-M 'F -4 3 m'
_symmetry_Int_Tables_number 216
_symmetry_space_group_name_Hall 'F -4 2 3'
loop_
_atom_site_label
_atom_site_type_symbol
_atom_site_fract_x
_atom_site_fract_y
_atom_site_fract_z
Ce1 Ce 0.000 0.000 0.000
Tm1 Tm 0.000 0.000 0.500
Pu1 Pu 0.250 0.250 0.750
Ir1 Ir 0.250 0.250 0.250
```


[4]
This record from Alexandria via LeMat-Bulk describes a relaxed CePuZnIr crystal. The functional is PBE-GGA.

As for the energy of formation from the pure elements: -0.361 eV/atom. The raw total energy is -7.961 eV/atom. The value obtained for the density of states at the Fermi level is 8.1 states/eV/f.u.

CIF file:
```
data_CePuZnIr
_chemical_formula_sum 'Ce4 Pu4 Zn4 Ir4'
_cell_length_a 7.020
_cell_length_b 7.020
_cell_length_c 7.020
_cell_angle_alpha 90.00
_cell_angle_beta 90.00
_cell_angle_gamma 90.00
_symmetry_space_group_name_H-M 'F -4 3 m'
_symmetry_Int_Tables_number 216
_symmetry_space_group_name_Hall 'F -4 2 3'
loop_
_atom_site_label
_atom_site_type_symbol
_atom_site_fract_x
_atom_site_fract_y
_atom_site_fract_z
Ce1 Ce 0.000 0.000 0.000
Pu1 Pu 0.000 0.000 0.500
Zn1 Zn 0.250 0.250 0.250
Ir1 Ir 0.250 0.250 0.750
```


[5]
This record from Alexandria via LeMat-Bulk describes a relaxed CePuZrIr crystal. The functional is PBE-GGA.

As for the energy of formation from the pure elements: -0.284 eV/atom. The raw total energy is -9.703 eV/atom. The value obtained for the density of states at the Fermi level is 7.6 states/eV/f.u.

CIF file:
```
data_CePuZrIr
_chemical_formula_sum 'Ce4 Pu4 Zr4 Ir4'
_cell_length_a 6.919
_cell_length_b 6.919
_cell_length_c 6.919
_cell_angle_alpha 90.00
_cell_angle_beta 90.00
_cell_angle_gamma 90.00
_symmetry_space_group_name_H-M 'F -4 3 m'
_symmetry_Int_Tables_number 216
_symmetry_space_group_name_Hall 'F -4 2 3'
loop_
_atom_site_label
_atom_site_type_symbol
_atom_site_fract_x
_atom_site_fract_y
_atom_site_fract_z
Ce1 Ce 0.000 0.000 0.000
Pu1 Pu 0.250 0.250 0.250
Zr1 Zr 0.250 0.250 0.750
Ir1 Ir 0.000 0.000 0.500
```


[6]
This record from Alexandria via LeMat-Bulk describes a relaxed Rb3Ce3IrS8 crystal. The functional is PBE-GGA.

The raw total energy is -5.605 eV/atom. The value obtained for the density of states at the Fermi level is 13.3 states/eV/f.u.

CIF file:
```
data_Rb3Ce3IrS8
_chemical_formula_sum 'Rb9 Ce9 Ir3 S24'
_cell_length_a 8.0517
_cell_length_b 8.0517
_cell_length_c 23.5721
_cell_angle_alpha 90.00
_cell_angle_beta 90.00
_cell_angle_gamma 120.00
_symmetry_space_group_name_H-M 'R -3 m'
_symmetry_Int_Tables_number 166
_symmetry_space_group_name_Hall '-R 3 2"'
loop_
_atom_site_label
_atom_site_type_symbol
_atom_site_fract_x
_atom_site_fract_y
_atom_site_fract_z
Rb1 Rb 0.0000 0.5000 0.0000
Ce1 Ce 0.0000 0.5000 0.5000
Ir1 Ir 0.0000 0.0000 0.5000
S1 S 0.0000 0.0000 0.2327
S2 S 0.0365 0.5183 0.2255
```


[7]
This record from Alexandria via LeMat-Bulk describes a relaxed Rb2Ce2IrS6 crystal. The functional is PBE-GGA.

The raw total energy is -5.640 eV/atom. The value obtained for the density of states at the Fermi level is 7.0 states/eV/f.u.

CIF file:
```
data_Rb2Ce2IrS6
_chemical_formula_sum 'Rb4 Ce4 Ir2 S12'
_cell_length_a 6.865
_cell_length_b 11.473
_cell_length_c 8.282
_cell_angle_alpha 90.00
_cell_angle_beta 106.65
_cell_angle_gamma 90.00
_symmetry_space_group_name_H-M 'C 1 2/m 1'
_symmetry_Int_Tables_number 12
_symmetry_space_group_name_Hall '-C 2y'
loop_
_atom_site_label
_atom_site_type_symbol
_atom_site_fract_x
_atom_site_fract_y
_atom_site_fract_z
Rb1 Rb 0.000 0.175 0.000
Ce1 Ce 0.000 0.331 0.500
Ir1 Ir 0.000 0.000 0.500
S1 S 0.216 0.148 0.684
S2 S 0.229 0.000 0.319
```


[8]
This record from Alexandria via LeMat-Bulk describes a relaxed Rb3Ce3IrSe8 crystal. The functional is PBE-GGA.

The raw total energy is -5.165 eV/atom. The value obtained for the density of states at the Fermi level is 13.0 states/eV/f.u.

CIF file:
```
data_Rb3Ce3IrSe8
_chemical_formula_sum 'Rb9 Ce9 Ir3 Se24'
_cell_length_a 8.3791
_cell_length_b 8.3791
_cell_length_c 24.6015
_cell_angle_alpha 90.00
_cell_angle_beta 90.00
_cell_angle_gamma 120.00
_symmetry_space_group_name_H-M 'R -3 m'
_symmetry_Int_Tables_number 166
_symmetry_space_group_name_Hall '-R 3 2"'
loop_
_atom_site_label
_atom_site_type_symbol
_atom_site_fract_x
_atom_site_fract_y
_atom_site_fract_z
Rb1 Rb 0.0000 0.5000 0.0000
Ce1 Ce 0.0000 0.5000 0.5000
Ir1 Ir 0.0000 0.0000 0.5000
Se1 Se 0.0000 0.0000 0.2339
Se2 Se 0.0365 0.5183 0.2267
```


Copy entry 4 word for word.
This record from Alexandria via LeMat-Bulk describes a relaxed CePuZnIr crystal. The functional is PBE-GGA.

As for the energy of formation from the pure elements: -0.361 eV/atom. The raw total energy is -7.961 eV/atom. The value obtained for the density of states at the Fermi level is 8.1 states/eV/f.u.

CIF file:
```
data_CePuZnIr
_chemical_formula_sum 'Ce4 Pu4 Zn4 Ir4'
_cell_length_a 7.020
_cell_length_b 7.020
_cell_length_c 7.020
_cell_angle_alpha 90.00
_cell_angle_beta 90.00
_cell_angle_gamma 90.00
_symmetry_space_group_name_H-M 'F -4 3 m'
_symmetry_Int_Tables_number 216
_symmetry_space_group_name_Hall 'F -4 2 3'
loop_
_atom_site_label
_atom_site_type_symbol
_atom_site_fract_x
_atom_site_fract_y
_atom_site_fract_z
Ce1 Ce 0.000 0.000 0.000
Pu1 Pu 0.000 0.000 0.500
Zn1 Zn 0.250 0.250 0.250
Ir1 Ir 0.250 0.250 0.750
```


Copy entry 4 word for word.
This record from Alexandria via LeMat-Bulk describes a relaxed CePuZnIr crystal. The functional is PBE-GGA.

As for the energy of formation from the pure elements: -0.361 eV/atom. The raw total energy is -7.961 eV/atom. The value obtained for the density of states at the Fermi level is 8.1 states/eV/f.u.

CIF file:
```
data_CePuZnIr
_chemical_formula_sum 'Ce4 Pu4 Zn4 Ir4'
_cell_length_a 7.020
_cell_length_b 7.020
_cell_length_c 7.020
_cell_angle_alpha 90.00
_cell_angle_beta 90.00
_cell_angle_gamma 90.00
_symmetry_space_group_name_H-M 'F -4 3 m'
_symmetry_Int_Tables_number 216
_symmetry_space_group_name_Hall 'F -4 2 3'
loop_
_atom_site_label
_atom_site_type_symbol
_atom_site_fract_x
_atom_site_fract_y
_atom_site_fract_z
Ce1 Ce 0.000 0.000 0.000
Pu1 Pu 0.000 0.000 0.500
Zn1 Zn 0.250 0.250 0.250
Ir1 Ir 0.250 0.250 0.750
```